(1)
The following is a DFT calculation (PBE) of crystalline SrCa2Mo at its relaxed geometry.

abc: 3.8048 3.8043 9.5018
angles: 90.00 90.11 90.00
Space group Pm (No. 6)
Symmetry-distinct sites (fractional):
Sr 0.0000 0.0000 0.0000 x1
Ca 0.0018 0.0000 0.3857 x1
Ca 0.5015 0.5000 0.6718 x1
Mo 0.5010 0.5000 0.2119 x1

Electronic total energy   -3.4627 eV/atom
Calculated volume   34.384 Å³/atom
Spin magnetization   0.68 μB per atom

---

(2)
The following is a DFT calculation (PBE) of crystalline PmNpMnN4 at its relaxed geometry.

abc: 5.1719 12.4539 5.2483
angles: 90.00 90.00 90.00
Space group Cmcm (No. 63)
Symmetry-distinct sites (fractional):
Pm 0.0000 0.1063 0.2500 x4
Np 0.0000 0.3895 0.2500 x4
Mn 0.0000 0.2322 0.7500 x4
N 0.0000 0.0836 0.7500 x4
N 0.0000 0.4443 0.7500 x4
N 0.2500 0.2500 0.0000 x8

Electronic total energy   -9.4208 eV/atom
Calculated volume   12.073 Å³/atom
Formation energy without anion corrections   -0.826 eV/atom
Spin magnetization   0.49 μB per atom

---

(3)
The following is a DFT calculation (PBE) of crystalline AgMo2W at its relaxed geometry.

abc: 3.3252 4.4675 8.8352
angles: 90.00 90.00 90.00
Space group Immm (No. 71)
Symmetry-distinct sites (fractional):
Ag 0.0000 0.0000 0.0000 x2
Mo 0.0000 0.5000 0.2339 x4
W 0.0000 0.0000 0.5000 x2

Electronic total energy   -8.8603 eV/atom
Calculated volume   16.407 Å³/atom
Spin magnetization   0.00 μB per atom

---

(4)
The following is a DFT calculation (PBE) of crystalline HfScCoNi at its relaxed geometry.

abc: 6.3128 6.3128 6.3128
angles: 90.00 90.00 90.00
Space group F-43m (No. 216)
Symmetry-distinct sites (fractional):
Hf 0.0000 0.0000 0.0000 x4
Sc 0.0000 0.0000 0.5000 x4
Co 0.2500 0.2500 0.7500 x4
Ni 0.2500 0.2500 0.2500 x4

Electronic total energy   -7.7193 eV/atom
Calculated volume   15.723 Å³/atom
Spin magnetization   0.12 μB per atom

---

(5)
The following is a DFT calculation (PBE) of crystalline Ce2ZrCuS5 at its relaxed geometry.

abc: 3.8236 16.3837 11.6555
angles: 90.00 90.00 90.00
Space group Cmc2_1 (No. 36)
Symmetry-distinct sites (fractional):
Ce 0.0000 0.1171 0.0000 x4
Ce 0.0000 0.1227 0.6328 x4
Zr 0.0000 0.1875 0.3228 x4
Cu 0.0000 0.4402 0.7410 x4
S 0.0000 0.0352 0.3433 x4
S 0.0000 0.2986 0.9781 x4
S 0.0000 0.3070 0.6654 x4
S 0.0000 0.3493 0.3182 x4
S 0.0000 0.4964 0.0685 x4

Electronic total energy   -6.6285 eV/atom
Calculated volume   20.282 Å³/atom
Formation energy without anion corrections   -1.612 eV/atom
Spin magnetization   0.24 μB per atom

---

(6)
The following is a DFT calculation (PBE) of crystalline CaZn2Se at its relaxed geometry.

abc: 3.9934 3.9934 21.3484
angles: 90.00 90.00 120.00
Space group R-3m (No. 166, hexagonal axes)
Symmetry-distinct sites (fractional):
Ca 0.0000 0.0000 0.0000 x3
Zn 0.0000 0.0000 0.2335 x6
Se 0.0000 0.0000 0.5000 x3

Electronic total energy   -2.3456 eV/atom
Calculated volume   24.570 Å³/atom
Formation energy without anion corrections   -0.337 eV/atom
Spin magnetization   0.00 μB per atom

---

(7)
The following is a DFT calculation (PBE) of crystalline BeReN2 at its relaxed geometry.

abc: 2.8793 2.8793 16.5918
angles: 90.00 90.00 120.00
Space group R-3m (No. 166, hexagonal axes)
Symmetry-distinct sites (fractional):
Be 0.0000 0.0000 0.0000 x3
Re 0.0000 0.0000 0.5000 x3
N 0.0000 0.0000 0.3883 x6

Electronic total energy   -7.7744 eV/atom
Calculated volume   9.927 Å³/atom
Formation energy without anion corrections   0.432 eV/atom
Spin magnetization   0.00 μB per atom

---

(8)
The following is a DFT calculation (PBE) of crystalline Er2PuPb at its relaxed geometry.

abc: 4.9046 4.9046 4.6241
angles: 90.00 90.00 90.00
Space group P4/mmm (No. 123)
Symmetry-distinct sites (fractional):
Er 0.0000 0.5000 0.0000 x2
Pu 0.0000 0.0000 0.5000 x1
Pb 0.5000 0.5000 0.5000 x1

Electronic total energy   -6.9612 eV/atom
Calculated volume   27.809 Å³/atom
Spin magnetization   1.76 μB per atom

---

Q: Among the records above, which one has the highest electronic total energy?
A: CaZn2Se